Record 1
RbSb2Ru after structural relaxation, computed with GGA-PBE.

```
data_RbSb2Ru
_chemical_formula_sum 'Rb4 Sb8 Ru4'
_symmetry_space_group_name_H-M 'I -4 2 d'
_symmetry_Int_Tables_number 122
_symmetry_space_group_name_Hall 'I -4 2bw'
_cell_length_a 7.8203
_cell_length_b 7.8203
_cell_length_c 10.1460
_cell_angle_alpha 90.00
_cell_angle_beta 90.00
_cell_angle_gamma 90.00
loop_
_atom_site_label
_atom_site_type_symbol
_atom_site_fract_x
_atom_site_fract_y
_atom_site_fract_z
Rb1 Rb 0.0000 0.0000 0.0000
Sb1 Sb 0.1195 0.2500 0.6250
Ru1 Ru 0.0000 0.0000 0.5000
```

The calculation puts the formation energy (no corrections) at 0.08 eV/atom. Its energy above the most stable polymorph in this dataset is 0.180 eV per atom.


Record 2
RbSbRu after structural relaxation, computed with GGA-PBE.

```
data_RbSbRu
_chemical_formula_sum 'Rb2 Sb2 Ru2'
_symmetry_space_group_name_H-M 'P 4/n m m'
_symmetry_Int_Tables_number 129
_cell_length_a 4.5123
_cell_length_b 4.5123
_cell_length_c 8.8044
_cell_angle_alpha 90.00
_cell_angle_beta 90.00
_cell_angle_gamma 90.00
loop_
_symmetry_equiv_pos_as_xyz
'x,y,z'
'-x,-y,-z'
'-y+1/2,x,z'
'y+1/2,-x,-z'
'-x+1/2,-y+1/2,z'
'x+1/2,y+1/2,-z'
'y,-x+1/2,z'
'-y,x+1/2,-z'
'x+1/2,-y,-z'
'-x+1/2,y,z'
'-y,-x,-z'
'y,x,z'
'-x,y+1/2,-z'
'x,-y+1/2,z'
'y+1/2,x+1/2,-z'
'-y+1/2,-x+1/2,z'
loop_
_atom_site_label
_atom_site_type_symbol
_atom_site_fract_x
_atom_site_fract_y
_atom_site_fract_z
Rb1 Rb 0.2500 0.2500 0.1658
Sb1 Sb 0.2500 0.2500 0.6525
Ru1 Ru 0.2500 0.7500 0.5000
```

The calculation puts the formation energy (no corrections) at -0.17 eV/atom.


| no. | calculated density (Mg/m³) | final energy (Ry/atom) | density of states at the Fermi level (states/eV per atom) |
| --- | --- | --- | --- |
| 1 | 4.60 | -0.3340 | 0.764 |
| 2 | 5.71 | -0.3646 | 0.226 |